First-principles (PBE) data for a relaxed TlNi3S3 crystal, as listed in Alexandria.

a b c (Å): 6.2849 6.2849 6.2849
angles (deg): 90.00 90.00 90.00
Positions (direct):
Ni1 0.5000 0.2500 0.0000
Ni2 0.2500 0.0000 0.5000
Ni3 0.5000 0.7500 0.0000
Ni4 0.7500 0.0000 0.5000
Ni5 0.0000 0.5000 0.2500
Ni6 0.0000 0.5000 0.7500
S1 0.0000 0.2500 0.5000
S2 0.0000 0.7500 0.5000
S3 0.7500 0.5000 0.0000
S4 0.5000 0.0000 0.7500
S5 0.2500 0.5000 0.0000
S6 0.5000 0.0000 0.2500
Tl1 0.5000 0.5000 0.5000
Tl2 0.0000 0.0000 0.0000

Output
Total magnetization   0.0 μB per formula unit
Formation energy (no corrections)   -0.31 eV/atom
VASP energy   -0.1800 Ha/atom
DOS(E_F)   5.78 states/eV/f.u.
Relative energy among the computed polymorphs   43 meV/atom